[1]
Crystalline CsHPb3 at its relaxed geometry, computed with PBE-GGA.

Cell and atoms, written as CIF:
```
data_CsHPb3
_cell_length_a 6.572
_cell_length_b 6.572
_cell_length_c 6.572
_cell_angle_alpha 90.00
_cell_angle_beta 90.00
_cell_angle_gamma 90.00
_symmetry_space_group_name_H-M 'P 1'
_symmetry_Int_Tables_number 1
loop_
_symmetry_equiv_pos_as_xyz
'x,y,z'
loop_
_atom_site_label
_atom_site_fract_x
_atom_site_fract_y
_atom_site_fract_z
Cs1 0.000 0.000 0.000
H1 0.500 0.500 0.500
Pb1 0.000 0.000 0.500
Pb2 0.000 0.500 0.000
Pb3 0.500 0.000 0.000
```

Space-group type: Pm-3m
Energy above the most stable polymorph in this dataset: 1.3489 eV per atom

[2]
Crystalline SrTcN3 at its relaxed geometry, computed with PBE-GGA.

Cell and atoms, written as CIF:
```
data_SrTcN3
_cell_length_a 7.424
_cell_length_b 7.424
_cell_length_c 7.424
_cell_angle_alpha 60.00
_cell_angle_beta 60.00
_cell_angle_gamma 60.00
_symmetry_space_group_name_H-M 'P 1'
_symmetry_Int_Tables_number 1
loop_
_symmetry_equiv_pos_as_xyz
'x,y,z'
loop_
_atom_site_label
_atom_site_fract_x
_atom_site_fract_y
_atom_site_fract_z
Sr1 0.000 0.000 0.000
Sr2 0.000 0.000 0.500
Sr3 0.000 0.500 0.000
Sr4 0.500 0.000 0.000
Tc1 0.000 0.500 0.500
Tc2 0.500 0.000 0.500
Tc3 0.500 0.500 0.000
Tc4 0.500 0.500 0.500
N1 0.186 0.186 0.564
N2 0.186 0.564 0.186
N3 0.186 0.564 0.564
N4 0.436 0.436 0.814
N5 0.436 0.814 0.436
N6 0.436 0.814 0.814
N7 0.564 0.186 0.186
N8 0.564 0.186 0.564
N9 0.564 0.564 0.186
N10 0.814 0.436 0.436
N11 0.814 0.436 0.814
N12 0.814 0.814 0.436
```

Space-group type: Fd-3m
Formation energy without anion corrections: 0.22 eV per atom

[3]
Crystalline CdInFe2 at its relaxed geometry, computed with PBE-GGA.

Cell and atoms, written as CIF:
```
data_CdInFe2
_cell_length_a 3.124
_cell_length_b 3.124
_cell_length_c 6.959
_cell_angle_alpha 90.00
_cell_angle_beta 90.00
_cell_angle_gamma 90.00
_symmetry_space_group_name_H-M 'P 1'
_symmetry_Int_Tables_number 1
loop_
_symmetry_equiv_pos_as_xyz
'x,y,z'
loop_
_atom_site_label
_atom_site_fract_x
_atom_site_fract_y
_atom_site_fract_z
Cd1 0.000 0.000 0.000
In1 0.500 0.500 0.666
Fe1 0.000 0.000 0.411
Fe2 0.500 0.500 0.256
```

Space-group type: P4mm
Final energy: -19.8 eV per formula unit